A plane-wave DFT calculation with PBE was carried out for a relaxed ThRe2 crystal.

Computed properties:
Calculated formation energy = 39 kJ/mol of formula units

Lattice parameters (Å, degrees): 3.1361 3.1361 6.5116 103.93 103.93 90.00
Element x y z (fractional)
Re1 0.6951 0.6951 0.3901
Re2 0.3049 0.3049 0.6099
Th1 0.0000 0.0000 0.0000